--- a ---
## Cr2GaN (PBE)

Data for a relaxed Cr2GaN crystal.

Summary:
SG: Fm-3m (225)

abc: 3.972 3.972 3.972
angles: 60.00 60.00 60.00
Sites, in units of the cell vectors:
1 Cr 0.250 0.250 0.250
2 Cr 0.750 0.750 0.750
3 Ga 0.500 0.500 0.500
4 N 0.000 0.000 0.000

--- b ---
## Cr2GaN (PBE)

Data for a relaxed Cr2GaN crystal.

Summary:
SG: I-42d (122)

abc: 6.119 6.119 4.984
angles: 52.13 52.13 90.00
Sites, in units of the cell vectors:
1 Cr 0.526 0.125 0.250
2 Cr 0.224 0.625 0.250
3 Cr 0.375 0.474 0.750
4 Cr 0.875 0.776 0.750
5 Ga 0.000 0.000 0.000
6 Ga 0.750 0.250 0.500
7 N 0.500 0.500 0.000
8 N 0.250 0.750 0.500

Which is more stable than every other structure shown? b is more stable than every other one.